# 1
Below is a relaxed Zr2ScB2Ru5 crystal, with properties calculated at the PBE level.

Cell lengths 3.1322, 9.5176, 9.5176 Å; angles 90.00, 90.00, 90.00 degrees
Fractional positions:
B  0.0000  0.6235  0.8765
B  0.0000  0.8765  0.3765
B  0.0000  0.3765  0.1235
B  0.0000  0.1235  0.6235
Zr  0.0000  0.6750  0.1750
Zr  0.0000  0.8250  0.6750
Zr  0.0000  0.1750  0.3250
Zr  0.0000  0.3250  0.8250
Ru  0.5000  0.5725  0.7202
Ru  0.5000  0.2202  0.0725
Ru  0.5000  0.9275  0.2202
Ru  0.5000  0.0725  0.7798
Ru  0.5000  0.7798  0.9275
Ru  0.5000  0.7202  0.4275
Ru  0.5000  0.4275  0.2798
Ru  0.5000  0.2798  0.5725
Ru  0.5000  0.5000  0.0000
Ru  0.5000  0.0000  0.5000
Sc  0.0000  0.5000  0.5000
Sc  0.0000  0.0000  0.0000

Computed properties:
total moment	0.00	μB per formula unit
calculated formation energy	-0.588	eV per atom
total DFT energy (no corrections)	-178.08	eV/cell



# 2
Below is a relaxed NaReRh2 crystal, with properties calculated at the PBE level.

Cell lengths 7.1676, 7.1676, 5.8034 Å; angles 51.86, 51.86, 90.00 degrees
Fractional positions:
Rh  0.3750  0.3260  0.7500
Rh  0.8750  0.9240  0.7500
Rh  0.0760  0.6250  0.2500
Rh  0.6740  0.1250  0.2500
Na  0.5000  0.5000  0.0000
Na  0.2500  0.7500  0.5000
Re  0.7500  0.2500  0.5000
Re  0.0000  0.0000  0.0000

Computed properties:
total moment	0.00	μB per formula unit
calculated formation energy	0.726	eV per atom
total DFT energy (no corrections)	-51.13	eV/cell
energy above the most stable polymorph in this dataset	0.256	eV per atom



# 3
Below is a relaxed CuWSe2 crystal, with properties calculated at the PBE level.

Cell lengths 7.6960, 5.8528, 2.6774 Å; angles 62.97, 110.08, 137.39 degrees
Fractional positions:
Se  0.0000  0.0000  0.0000
Se  0.5000  0.0000  0.5000
W  0.0000  0.5000  0.5000
Cu  0.5000  0.5000  0.0000

Computed properties:
total moment	0.00	μB per formula unit
total DFT energy (no corrections)	-21.74	eV/cell
formation energy from raw total energies	0.569	eV per atom
energy above the most stable polymorph in this dataset	0.721	eV per atom



# 4
Below is a relaxed AsRuCl2 crystal, with properties calculated at the PBE level.

Cell lengths 8.9300, 8.9300, 6.7342 Å; angles 48.47, 48.47, 90.00 degrees
Fractional positions:
Cl  0.7724  0.1250  0.2500
Cl  0.3750  0.2276  0.7500
Cl  0.9776  0.6250  0.2500
Cl  0.8750  0.0224  0.7500
As  0.2500  0.7500  0.5000
As  0.5000  0.5000  0.0000
Ru  0.0000  0.0000  0.0000
Ru  0.7500  0.2500  0.5000

Computed properties:
total moment	0.26	μB per formula unit
total DFT energy (no corrections)	-34.86	eV/cell
formation energy from raw total energies	0.047	eV per atom
energy above the most stable polymorph in this dataset	0.372	eV per atom



> Among the records above, which one has the highest total DFT energy (no corrections)?

CuWSe2



> The highest total moment belongs to which entry?

AsRuCl2